Entry 1:
Ca2LaHg: PBEsol geometry, SCAN.

Calculated values
- space group = P4/mmm

Cell lengths 3.6112, 3.6112, 9.7205 Å; angles 90.00, 90.00, 90.00 degrees
Fractional positions:
Ca 0.0000 0.0000 0.1962
Ca 0.0000 0.0000 0.8038
La 0.5000 0.5000 0.5000
Hg 0.5000 0.5000 0.0000

=====

Entry 2:
Ca4LaHg: PBEsol geometry, SCAN.

Calculated values
- space group = F-43m

Cell lengths 6.7586, 6.7586, 6.7586 Å; angles 60.00, 60.00, 60.00 degrees
Fractional positions:
Ca 0.1250 0.1250 0.1250
Ca 0.1250 0.1250 0.6250
Ca 0.1250 0.6250 0.1250
Ca 0.6250 0.1250 0.1250
La 0.5000 0.5000 0.5000
Hg 0.7500 0.7500 0.7500

=====

Entry 3:
Ca2LaHg: PBEsol geometry, SCAN.

Calculated values
- space group = Immm

Cell lengths 6.8824, 6.8824, 6.8824 Å; angles 147.72, 131.53, 59.44 degrees
Fractional positions:
Ca 0.2059 0.2059 0.0000
Ca 0.7941 0.7941 0.0000
La 0.5000 0.0000 0.5000
Hg 0.0000 0.5000 0.5000

=====

Entry 4:
Ca2LaHg: PBEsol geometry, SCAN.

Calculated values
- space group = P4mm

Cell lengths 3.7223, 3.7223, 9.5819 Å; angles 90.00, 90.00, 90.00 degrees
Fractional positions:
Ca 0.0000 0.0000 0.0000
Ca 0.5000 0.5000 0.3074
La 0.5000 0.5000 0.6991
Hg 0.0000 0.0000 0.4936

=====

Entry 5:
NaCaLa2Hg: PBEsol geometry, SCAN.

Calculated values
- space group = P4/mmm

Cell lengths 5.7706, 5.7706, 5.2809 Å; angles 90.00, 90.00, 90.00 degrees
Fractional positions:
Na 0.0000 0.0000 0.0000
Ca 0.0000 0.0000 0.5000
La 0.0000 0.5000 0.5000
La 0.5000 0.0000 0.5000
Hg 0.5000 0.5000 0.0000

=====

Entry 6:
Li2CaHg2: PBEsol geometry, SCAN.

Calculated values
- space group = I4/mmm

Cell lengths 7.2002, 7.2002, 7.2002 Å; angles 146.88, 146.88, 47.54 degrees
Fractional positions:
Li 0.2500 0.7500 0.5000
Li 0.7500 0.2500 0.5000
Ca 0.0000 0.0000 0.0000
Hg 0.3889 0.3889 0.0000
Hg 0.6111 0.6111 0.0000

=====

Entry 7:
LiCa2Hg: PBEsol geometry, SCAN.

Calculated values
- space group = Cm

Cell lengths 6.0827, 6.0827, 5.4407 Å; angles 109.00, 109.00, 35.05 degrees
Fractional positions:
Li 0.0000 0.0000 0.0000
Ca 0.2210 0.2210 0.7695
Ca 0.4282 0.4282 0.4221
Hg 0.6868 0.6868 0.2478

=====

Entry 8:
LiCaHg2: PBEsol geometry, SCAN.

Calculated values
- space group = Pmm2

Cell lengths 3.7979, 4.9109, 4.9106 Å; angles 90.00, 90.00, 90.00 degrees
Fractional positions:
Li 0.0000 0.0000 0.0000
Ca 0.0000 0.5000 0.4988
Hg 0.5000 0.0000 0.5019
Hg 0.5000 0.5000 0.9989

=====

Entry 9:
LiCa2Hg: PBEsol geometry, SCAN.

Calculated values
- space group = P4/mmm

Cell lengths 3.7758, 3.7758, 7.8594 Å; angles 90.00, 90.00, 90.00 degrees
Fractional positions:
Li 0.0000 0.0000 0.0000
Ca 0.5000 0.5000 0.2725
Ca 0.5000 0.5000 0.7275
Hg 0.0000 0.0000 0.5000

=====

Entry 10:
LiCa2Hg: PBEsol geometry, SCAN.

Calculated values
- space group = P4mm

Cell lengths 3.7370, 3.7370, 7.9068 Å; angles 90.00, 90.00, 90.00 degrees
Fractional positions:
Li 0.0000 0.0000 0.0000
Ca 0.0000 0.0000 0.6152
Ca 0.5000 0.5000 0.2544
Hg 0.5000 0.5000 0.8437

=====

Entry 11:
Li2Ca2Hg: PBEsol geometry, SCAN.

Calculated values
- space group = I4/mmm

Cell lengths 9.6408, 9.6408, 9.6408 Å; angles 157.17, 157.17, 32.51 degrees
Fractional positions:
Li 0.2500 0.7500 0.5000
Li 0.7500 0.2500 0.5000
Ca 0.0951 0.0951 0.0000
Ca 0.9049 0.9049 0.0000
Hg 0.5000 0.5000 0.0000

=====

Entry 12:
Li2CaHg2: PBEsol geometry, SCAN.

Calculated values
- space group = P4/mbm

Cell lengths 7.9495, 7.9495, 3.4622 Å; angles 90.00, 90.00, 90.00 degrees
Fractional positions:
Li 0.1557 0.3443 0.0000
Li 0.3443 0.8443 0.0000
Li 0.6557 0.1557 0.0000
Li 0.8443 0.6557 0.0000
Ca 0.0000 0.0000 0.5000
Ca 0.5000 0.5000 0.5000
Hg 0.1355 0.6355 0.5000
Hg 0.3645 0.1355 0.5000
Hg 0.6355 0.8645 0.5000
Hg 0.8645 0.3645 0.5000

=====

Entry 13:
Li3CaHg: PBEsol geometry, SCAN.

Calculated values
- space group = Pm-3m

Cell lengths 5.0155, 5.0155, 5.0155 Å; angles 90.00, 90.00, 90.00 degrees
Fractional positions:
Li 0.0000 0.0000 0.5000
Li 0.0000 0.5000 0.0000
Li 0.5000 0.0000 0.0000
Ca 0.5000 0.5000 0.5000
Hg 0.0000 0.0000 0.0000

=====

Entry 14:
LiCaHg2: PBEsol geometry, SCAN.

Calculated values
- space group = F-43m

Cell lengths 4.9488, 4.9488, 4.9488 Å; angles 60.00, 60.00, 60.00 degrees
Fractional positions:
Li 0.0000 0.0000 0.0000
Ca 0.7500 0.7500 0.7500
Hg 0.2500 0.2500 0.2500
Hg 0.5000 0.5000 0.5000

=====

Entry 15:
LiCa2Hg: PBEsol geometry, SCAN.

Calculated values
- space group = Imm2

Cell lengths 6.4114, 6.4114, 6.4114 Å; angles 146.13, 130.91, 60.98 degrees
Fractional positions:
Li 0.0000 0.0000 0.0000
Ca 0.4212 0.4212 0.0000
Ca 0.7128 0.2128 0.5000
Hg 0.1838 0.6838 0.5000

=====

Entry 16:
LiCa2Hg: PBEsol geometry, SCAN.

Calculated values
- space group = Amm2

Cell lengths 4.5610, 6.2356, 6.2356 Å; angles 39.74, 90.00, 90.00 degrees
Fractional positions:
Li 0.0000 0.0000 0.0000
Ca 0.0000 0.7082 0.7082
Ca 0.5000 0.4137 0.4137
Hg 0.5000 0.1310 0.1310

=====

Entry 17:
LiCaNb2Hg: PBEsol geometry, SCAN.

Calculated values
- space group = P4/mmm

Cell lengths 4.5178, 4.5178, 4.8317 Å; angles 90.00, 90.00, 90.00 degrees
Fractional positions:
Li 0.0000 0.0000 0.0000
Ca 0.5000 0.5000 0.5000
Nb 0.0000 0.5000 0.0000
Nb 0.5000 0.0000 0.0000
Hg 0.0000 0.0000 0.5000

=====

Entry 18:
CaMg2Hg2: PBEsol geometry, SCAN.

Calculated values
- space group = P4/mbm

Cell lengths 8.1724, 8.1724, 3.5221 Å; angles 90.00, 90.00, 90.00 degrees
Fractional positions:
Ca 0.0000 0.0000 0.0000
Ca 0.5000 0.5000 0.0000
Mg 0.1544 0.3456 0.5000
Mg 0.3456 0.8456 0.5000
Mg 0.6544 0.1544 0.5000
Mg 0.8456 0.6544 0.5000
Hg 0.1408 0.6408 0.0000
Hg 0.3592 0.1408 0.0000
Hg 0.6408 0.8592 0.0000
Hg 0.8592 0.3592 0.0000

=====

Entry 19:
CaMgHg2: PBEsol geometry, SCAN.

Calculated values
- space group = P4/mmm

Cell lengths 3.5490, 3.5490, 7.2607 Å; angles 90.00, 90.00, 90.00 degrees
Fractional positions:
Ca 0.0000 0.0000 0.0000
Mg 0.0000 0.0000 0.5000
Hg 0.5000 0.5000 0.2742
Hg 0.5000 0.5000 0.7258

=====

Entry 20:
CaMg2Hg2: PBEsol geometry, SCAN.

Calculated values
- space group = I4/mmm

Cell lengths 7.1729, 7.1729, 7.1729 Å; angles 144.90, 144.90, 50.49 degrees
Fractional positions:
Ca 0.0000 0.0000 0.0000
Mg 0.2500 0.7500 0.5000
Mg 0.7500 0.2500 0.5000
Hg 0.3917 0.3917 0.0000
Hg 0.6083 0.6083 0.0000

=====

Entry 21:
Ca2MgHg2: PBEsol geometry, SCAN.

Calculated values
- space group = P4/mbm

Cell lengths 8.0346, 8.0346, 4.1182 Å; angles 90.00, 90.00, 90.00 degrees
Fractional positions:
Ca 0.1648 0.3352 0.0000
Ca 0.3352 0.8352 0.0000
Ca 0.6648 0.1648 0.0000
Ca 0.8352 0.6648 0.0000
Mg 0.0000 0.0000 0.5000
Mg 0.5000 0.5000 0.5000
Hg 0.1366 0.6366 0.5000
Hg 0.3634 0.1366 0.5000
Hg 0.6366 0.8634 0.5000
Hg 0.8634 0.3634 0.5000

=====

Entry 22:
CaMgHg2: PBEsol geometry, SCAN.

Calculated values
- space group = P4/mmm

Cell lengths 5.0073, 5.0073, 3.6996 Å; angles 90.00, 90.00, 90.00 degrees
Fractional positions:
Ca 0.0000 0.0000 0.0000
Mg 0.5000 0.5000 0.0000
Hg 0.0000 0.5000 0.5000
Hg 0.5000 0.0000 0.5000

=====

Entry 23:
CaMgHg2: PBEsol geometry, SCAN.

Calculated values
- space group = Pm

Cell lengths 3.6237, 4.7247, 5.9219 Å; angles 90.00, 107.80, 90.00 degrees
Fractional positions:
Ca 0.0000 0.0000 0.0000
Mg 0.3007 0.5000 0.6023
Hg 0.5748 0.5000 0.1492
Hg 0.7323 0.0000 0.4687

=====

Entry 24:
Ca2MnHg: PBEsol geometry, SCAN.

Calculated values
- space group = R3m

Cell lengths 6.7478, 6.7478, 6.7478 Å; angles 39.87, 39.87, 39.87 degrees
Fractional positions:
Ca 0.0000 0.0000 0.0000
Ca 0.1896 0.1896 0.1896
Mn 0.4229 0.4229 0.4229
Hg 0.7646 0.7646 0.7646

=====

Entry 25:
CaMn2Hg: PBEsol geometry, SCAN.

Calculated values
- space group = F-43m

Cell lengths 4.8152, 4.8152, 4.8152 Å; angles 60.00, 60.00, 60.00 degrees
Fractional positions:
Ca 0.0000 0.0000 0.0000
Mn 0.2500 0.2500 0.2500
Mn 0.5000 0.5000 0.5000
Hg 0.7500 0.7500 0.7500

=====

Entry 26:
CaMnHg2: PBEsol geometry, SCAN.

Calculated values
- space group = P4/mmm

Cell lengths 3.4368, 3.4368, 7.1322 Å; angles 90.00, 90.00, 90.00 degrees
Fractional positions:
Ca 0.0000 0.0000 0.0000
Mn 0.0000 0.0000 0.5000
Hg 0.5000 0.5000 0.2869
Hg 0.5000 0.5000 0.7131

=====

Entry 27:
CaMnHg2: PBEsol geometry, SCAN.

Calculated values
- space group = P4/mmm

Cell lengths 4.6991, 4.6991, 3.8813 Å; angles 90.00, 90.00, 90.00 degrees
Fractional positions:
Ca 0.0000 0.0000 0.0000
Mn 0.5000 0.5000 0.0000
Hg 0.0000 0.5000 0.5000
Hg 0.5000 0.0000 0.5000

=====

Entry 28:
Ca2MnHg: PBEsol geometry, SCAN.

Calculated values
- space group = P4/mmm

Cell lengths 5.0812, 5.0812, 3.8356 Å; angles 90.00, 90.00, 90.00 degrees
Fractional positions:
Ca 0.0000 0.5000 0.0000
Ca 0.5000 0.0000 0.0000
Mn 0.0000 0.0000 0.5000
Hg 0.5000 0.5000 0.5000

=====

Entry 29:
Ca2MnHg: PBEsol geometry, SCAN.

Calculated values
- space group = P4/mmm

Cell lengths 3.7331, 3.7331, 7.0893 Å; angles 90.00, 90.00, 90.00 degrees
Fractional positions:
Ca 0.0000 0.0000 0.2472
Ca 0.0000 0.0000 0.7528
Mn 0.5000 0.5000 0.0000
Hg 0.5000 0.5000 0.5000

=====

Here are the calculated E_tot numbers, same order: -32.972 -24.722 -32.981 -33.006 -32.884 -30.658 -22.825 -37.602 -22.862 -22.811 -18.690 -30.562 -17.185 -37.588 -22.828 -22.876 -28.523 -31.610 -38.296 -31.694 -32.720 -38.249 -38.236 -26.648 -28.609 -41.484 -41.385 -26.711 -26.695 (eV/atom).